Material: Mg2Fe7O12
Method: DFT, PBE+U
State: optimized geometry

Properties
VASP energy (eV per atom): -6.355
Symmetry: C2/c (15)
Total moment (μB/atom): 1.0479

Lattice parameters (Å, degrees): 5.9449 5.9449 13.2203 103.02 103.02 89.63
With the nearest neighbours (Å) after each atom.
Positions (direct):
1 Mg 0.1638 0.6662 0.8317  6 O 2.07-2.09
2 Mg 0.3338 0.8362 0.6683  6 O 2.07-2.09
3 Mg 0.6662 0.1638 0.3317  6 O 2.07-2.09
4 Mg 0.8362 0.3338 0.1683  6 O 2.07-2.09
5 Fe 0.0000 0.0000 0.0000  6 O 2.10-2.15
6 Fe 0.0000 0.0000 0.5000  6 O 2.10-2.15
7 Fe 0.0000 0.5000 0.0000  6 O 1.95-2.00
8 Fe 0.1306 0.8694 0.2500  4 O 1.91-1.94
9 Fe 0.2113 0.4665 0.4156  4 O 1.90-1.95
10 Fe 0.3351 0.3348 0.1657  6 O 1.97-2.00
11 Fe 0.3348 0.3351 0.6657  6 O 1.97-2.00
12 Fe 0.4665 0.2113 0.9156  4 O 1.90-1.95
13 Fe 0.5000 0.0000 0.5000  6 O 1.95-2.00
14 Fe 0.5335 0.7887 0.0844  4 O 1.90-1.95
15 Fe 0.6652 0.6649 0.3343  6 O 1.97-2.00
16 Fe 0.6649 0.6652 0.8343  6 O 1.97-2.00
17 Fe 0.7887 0.5335 0.5844  4 O 1.90-1.95
18 Fe 0.8694 0.1306 0.7500  4 O 1.91-1.94
19 O 0.0903 0.5619 0.1581  3 Fe 1.94-1.99, 1 Mg 2.08
20 O 0.0976 0.1015 0.1688  3 Fe 1.91-2.12, 1 Mg 2.07
21 O 0.1015 0.0976 0.6688  3 Fe 1.91-2.12, 1 Mg 2.07
22 O 0.1025 0.5734 0.6656  2 Fe 1.92-1.97, 2 Mg 2.08-2.09
23 O 0.2300 0.7295 0.9962  3 Fe 1.90-2.10, 1 Mg 2.07
24 O 0.2463 0.2707 0.0071  4 Fe 1.95-2.15
25 O 0.2705 0.7700 0.5038  3 Fe 1.90-2.10, 1 Mg 2.07
26 O 0.2707 0.2463 0.5071  4 Fe 1.95-2.15
27 O 0.4213 0.4258 0.8229  3 Fe 1.94-1.99, 1 Mg 2.09
28 O 0.4258 0.4213 0.3229  3 Fe 1.94-1.99, 1 Mg 2.09
29 O 0.4266 0.8975 0.8344  2 Fe 1.92-1.97, 2 Mg 2.08-2.09
30 O 0.4381 0.9097 0.3419  3 Fe 1.94-1.99, 1 Mg 2.08
31 O 0.5619 0.0903 0.6581  3 Fe 1.94-1.99, 1 Mg 2.08
32 O 0.5734 0.1025 0.1656  2 Fe 1.92-1.97, 2 Mg 2.08-2.09
33 O 0.5742 0.5787 0.6771  3 Fe 1.94-1.99, 1 Mg 2.09
34 O 0.5787 0.5742 0.1771  3 Fe 1.94-1.99, 1 Mg 2.09
35 O 0.7293 0.7537 0.4929  4 Fe 1.95-2.15
36 O 0.7295 0.2300 0.4962  3 Fe 1.90-2.10, 1 Mg 2.07
37 O 0.7537 0.7293 0.9929  4 Fe 1.95-2.15
38 O 0.7700 0.2705 0.0038  3 Fe 1.90-2.10, 1 Mg 2.07
39 O 0.8975 0.4266 0.3344  2 Fe 1.92-1.97, 2 Mg 2.08-2.09
40 O 0.8985 0.9024 0.3312  3 Fe 1.91-2.12, 1 Mg 2.07
41 O 0.9024 0.8985 0.8312  3 Fe 1.91-2.12, 1 Mg 2.07
42 O 0.9097 0.4381 0.8419  3 Fe 1.94-1.99, 1 Mg 2.08